Material: AgGeAs2Br
Method: DFT, PBE-GGA
State: relaxed

abc: 4.997 4.997 5.369
angles: 90.00 90.00 90.00
Fractional coordinates of all 5 atoms:
Ag: 0.000 0.000 0.000
Ge: 0.500 0.500 0.500
As: 0.000 0.500 0.500
As: 0.500 0.000 0.500
Br: 0.500 0.500 0.000

Output
**ρ**: 5.08 Mg/m³
**Formation energy without anion corrections**: 0.66 eV per atom
**Relative energy among the computed polymorphs**: 0.000 eV per atom

Material: LiBi2Sb
Method: DFT, PBE-GGA
State: relaxed

abc: 4.840 4.840 4.792
angles: 90.00 90.00 90.00
Fractional coordinates of all 4 atoms:
Li: 0.000 0.000 0.000
Bi: 0.000 0.500 0.500
Bi: 0.500 0.000 0.500
Sb: 0.500 0.500 0.000

Output
**ρ**: 8.09 Mg/m³
**Formation energy without anion corrections**: -0.09 eV per atom

Material: Mg4In2Au
Method: DFT, PBE-GGA
State: relaxed

abc: 8.147 8.147 8.147
angles: 147.06 147.06 47.28
Fractional coordinates of all 7 atoms:
Mg: 0.103 0.603 0.500
Mg: 0.397 0.897 0.500
Mg: 0.603 0.103 0.500
Mg: 0.897 0.397 0.500
In: 0.247 0.247 0.000
In: 0.753 0.753 0.000
Au: 0.500 0.500 0.000

Output
**ΔE_f**: -0.25 eV/atom
**ρ**: 5.46 Mg/m³

Material: CeTlAgHg
Method: DFT, PBE-GGA
State: relaxed

abc: 5.179 5.179 5.179
angles: 60.00 60.00 60.00
Fractional coordinates of all 4 atoms:
Ce: 0.000 0.000 0.000
Tl: 0.750 0.750 0.750
Ag: 0.500 0.500 0.500
Hg: 0.250 0.250 0.250

Output
**ΔE_f**: -0.21 eV/atom
**ρ**: 11.04 Mg/m³

Material: SiAg2Pb
Method: DFT, PBE-GGA
State: relaxed

abc: 5.207 5.207 3.232
angles: 90.00 90.00 107.99
Fractional coordinates of all 4 atoms:
Si: 0.000 0.000 0.000
Ag: 0.000 0.500 0.500
Ag: 0.500 0.000 0.500
Pb: 0.500 0.500 0.000

Output
**ρ**: 8.98 Mg/m³
**Formation energy without anion corrections**: 0.38 eV per atom
**Relative energy among the computed polymorphs**: 0.115 eV per atom

Material: DyCd2InHg5
Method: DFT, PBE-GGA
State: relaxed

abc: 6.956 6.956 14.043
angles: 90.00 90.00 139.52
Fractional coordinates of all 18 atoms:
Dy: 0.090 0.910 0.500
Dy: 0.910 0.090 0.000
Cd: 0.415 0.585 0.491
Cd: 0.416 0.584 0.829
Cd: 0.584 0.416 0.329
Cd: 0.585 0.415 0.991
In: 0.235 0.765 0.990
In: 0.765 0.235 0.490
Hg: 0.071 0.929 0.828
Hg: 0.080 0.920 0.159
Hg: 0.243 0.757 0.326
Hg: 0.250 0.750 0.668
Hg: 0.412 0.588 0.156
Hg: 0.588 0.412 0.656
Hg: 0.750 0.250 0.168
Hg: 0.757 0.243 0.826
Hg: 0.920 0.080 0.659
Hg: 0.929 0.071 0.328

Output
**ΔE_f**: -0.13 eV/atom
**ρ**: 11.33 Mg/m³

ρ of number 1 (AgGeAs2Br)?
5.08 Mg/m³

Look up the ρ of the first one.
5.08 Mg/m³

Repeat the fourth record exactly.
Material: CeTlAgHg
Method: DFT, PBE-GGA
State: relaxed

abc: 5.179 5.179 5.179
angles: 60.00 60.00 60.00
Fractional coordinates of all 4 atoms:
Ce: 0.000 0.000 0.000
Tl: 0.750 0.750 0.750
Ag: 0.500 0.500 0.500
Hg: 0.250 0.250 0.250

Output
**ΔE_f**: -0.21 eV/atom
**ρ**: 11.04 Mg/m³